(1)
Material: PrYIr
Method: DFT, PBE-GGA
State: relaxed

Cell lengths 7.2861, 4.7914, 9.0366 Å; angles 90.00, 90.00, 90.00 degrees
With the nearest neighbours (Å) after each atom.
Atoms (fractional coordinates):
Pr1 0.1418 0.2500 0.0905  4 Ir 2.97-3.01
Pr2 0.3582 0.7500 0.5905  4 Ir 2.97-3.01
Pr3 0.6418 0.2500 0.4095  4 Ir 2.97-3.01
Pr4 0.8582 0.7500 0.9095  4 Ir 2.97-3.01
Y1 0.0000 0.2500 0.6571  3 Ir 2.77-3.02
Y2 0.0000 0.7500 0.3429  3 Ir 2.77-3.02
Y3 0.5000 0.2500 0.8429  3 Ir 2.77-3.02
Y4 0.5000 0.7500 0.1571  3 Ir 2.77-3.02
Ir1 0.2346 0.2500 0.4155  3 Y 2.77-3.02, 4 Pr 2.97-3.01
Ir2 0.2654 0.7500 0.9155  3 Y 2.77-3.02, 4 Pr 2.97-3.01
Ir3 0.7346 0.2500 0.0845  3 Y 2.77-3.02, 4 Pr 2.97-3.01
Ir4 0.7654 0.7500 0.5845  3 Y 2.77-3.02, 4 Pr 2.97-3.01

Density (g/cm3): 8.9
Total DFT energy (no corrections) (eV/atom): -7.285
E above lowest polymorph (eV/atom): 0.000
SG: Pnma, No. 62

(2)
Material: PrYZnIr2
Method: DFT, PBE-GGA
State: relaxed

Cell lengths 4.2055, 5.8454, 8.5863 Å; angles 90.00, 90.00, 90.00 degrees
With the nearest neighbours (Å) after each atom.
Atoms (fractional coordinates):
Pr1 0.0000 0.0000 0.0000  6 Ir 2.99-3.05, 2 Zn 3.33
Pr2 0.5000 0.5000 0.5000  6 Ir 2.99-3.05, 2 Zn 3.33
Y1 0.0000 0.0000 0.5961  6 Ir 3.00-3.05, 2 Zn 3.30
Y2 0.5000 0.5000 0.0961  6 Ir 3.00-3.05, 2 Zn 3.30
Zn1 0.0000 0.5000 0.8005  4 Ir 2.62
Zn2 0.5000 0.0000 0.3005  4 Ir 2.62
Ir1 0.0000 0.2667 0.2976  2 Zn 2.62, 1 Ir 2.73
Ir2 0.0000 0.7333 0.2976  2 Zn 2.62, 1 Ir 2.73
Ir3 0.5000 0.2333 0.7976  2 Zn 2.62, 1 Ir 2.73
Ir4 0.5000 0.7667 0.7976  2 Zn 2.62, 1 Ir 2.73

Density (g/cm3): 10.7
Total DFT energy (no corrections) (eV/atom): -6.731
SG: Imm2, No. 44

(3)
Material: Pr2ZnIr
Method: DFT, PBE-GGA
State: relaxed

Cell lengths 5.9588, 4.4824, 8.0496 Å; angles 90.00, 111.64, 90.00 degrees
With the nearest neighbours (Å) after each atom.
Atoms (fractional coordinates):
Pr1 0.1868 0.2500 0.4195  3 Ir 3.04, 4 Zn 3.06-3.22
Pr2 0.2761 0.7500 0.0628  3 Zn 3.04-3.16, 4 Ir 3.06-3.20
Pr3 0.7239 0.2500 0.9372  3 Zn 3.04-3.16, 4 Ir 3.06-3.20
Pr4 0.8132 0.7500 0.5805  3 Ir 3.04, 4 Zn 3.06-3.22
Zn1 0.3654 0.7500 0.7140  2 Ir 2.76, 2 Pr 3.04-3.06
Zn2 0.6346 0.2500 0.2860  2 Ir 2.76, 2 Pr 3.04-3.06
Ir1 0.1457 0.2500 0.7846  2 Zn 2.76, 5 Pr 3.04-3.06
Ir2 0.8543 0.7500 0.2154  2 Zn 2.76, 5 Pr 3.04-3.06

Density (g/cm3): 9.0
Total DFT energy (no corrections) (eV/atom): -5.444
SG: P2_1/m, No. 11

(4)
Material: Pr2Zn3Ir2
Method: DFT, PBE-GGA
State: relaxed

Cell lengths 10.2169, 4.1789, 7.2570 Å; angles 90.00, 113.89, 90.00 degrees
With the nearest neighbours (Å) after each atom.
Atoms (fractional coordinates):
Pr1 0.1438 0.0000 0.2685  4 Ir 2.98-3.12, 4 Zn 3.09-3.33
Pr2 0.3562 0.5000 0.7315  4 Ir 2.98-3.12, 4 Zn 3.09-3.33
Pr3 0.6438 0.5000 0.2685  4 Ir 2.98-3.12, 4 Zn 3.09-3.33
Pr4 0.8562 0.0000 0.7315  4 Ir 2.98-3.12, 4 Zn 3.09-3.33
Zn1 0.0000 0.5000 0.5000  4 Ir 2.59
Zn2 0.1455 0.5000 0.9396  3 Ir 2.69-2.72, 3 Zn 2.86-2.92
Zn3 0.3545 0.0000 0.0604  3 Ir 2.69-2.72, 3 Zn 2.86-2.92
Zn4 0.5000 0.0000 0.5000  4 Ir 2.59
Zn5 0.6455 0.0000 0.9396  3 Ir 2.69-2.72, 3 Zn 2.86-2.92
Zn6 0.8545 0.5000 0.0604  3 Ir 2.69-2.72, 3 Zn 2.86-2.92
Ir1 0.1366 0.0000 0.6944  5 Zn 2.59-2.72
Ir2 0.3634 0.5000 0.3056  5 Zn 2.59-2.72
Ir3 0.6366 0.5000 0.6944  5 Zn 2.59-2.72
Ir4 0.8634 0.0000 0.3056  5 Zn 2.59-2.72

Density (g/cm3): 10.1
Total DFT energy (no corrections) (eV/atom): -4.954
SG: C2/m, No. 12

(5)
Material: PrZrIr
Method: DFT, PBE-GGA
State: relaxed

Cell lengths 6.5935, 6.5935, 6.5935 Å; angles 90.00, 90.00, 90.00 degrees
With the nearest neighbours (Å) after each atom.
Atoms (fractional coordinates):
Pr1 0.0000 0.0000 0.0000  4 Zr 2.86
Pr2 0.0000 0.5000 0.5000  4 Zr 2.86
Pr3 0.5000 0.0000 0.5000  4 Zr 2.86
Pr4 0.5000 0.5000 0.0000  4 Zr 2.86
Zr1 0.2500 0.2500 0.7500  4 Pr 2.86, 4 Ir 2.86
Zr2 0.2500 0.7500 0.2500  4 Pr 2.86, 4 Ir 2.86
Zr3 0.7500 0.2500 0.2500  4 Pr 2.86, 4 Ir 2.86
Zr4 0.7500 0.7500 0.7500  4 Ir 2.86, 4 Pr 2.86
Ir1 0.0000 0.0000 0.5000  4 Zr 2.86
Ir2 0.0000 0.5000 0.0000  4 Zr 2.86
Ir3 0.5000 0.0000 0.0000  4 Zr 2.86
Ir4 0.5000 0.5000 0.5000  4 Zr 2.86

Density (g/cm3): 9.8
Total DFT energy (no corrections) (eV/atom): -7.243
SG: F-43m, No. 216

(6)
Material: PrZr2Ir2
Method: DFT, PBE-GGA
State: relaxed

Cell lengths 4.5572, 4.5572, 11.0204 Å; angles 90.00, 90.00, 90.00 degrees
With the nearest neighbours (Å) after each atom.
Atoms (fractional coordinates):
Pr1 0.0000 0.0000 0.0000  8 Ir 3.47, 8 Zr 3.58
Pr2 0.5000 0.5000 0.5000  8 Ir 3.47, 8 Zr 3.58
Zr1 0.0000 0.5000 0.2500  4 Ir 2.70
Zr2 0.0000 0.5000 0.7500  4 Ir 2.70
Zr3 0.5000 0.0000 0.2500  4 Ir 2.70
Zr4 0.5000 0.0000 0.7500  4 Ir 2.70
Ir1 0.0000 0.0000 0.3821  1 Ir 2.60, 4 Zr 2.70
Ir2 0.0000 0.0000 0.6179  1 Ir 2.60, 4 Zr 2.70
Ir3 0.5000 0.5000 0.1179  1 Ir 2.60, 4 Zr 2.70
Ir4 0.5000 0.5000 0.8821  1 Ir 2.60, 4 Zr 2.70

Density (g/cm3): 10.3
Total DFT energy (no corrections) (eV/atom): -8.662
SG: I4/mmm, No. 139

(7)
Material: Ir2Pt
Method: DFT, PBE-GGA
State: relaxed

Cell lengths 5.1458, 5.1458, 5.1458 Å; angles 60.00, 60.00, 60.00 degrees
With the nearest neighbours (Å) after each atom.
Atoms (fractional coordinates):
Ir1 0.0000 0.0000 0.0000  6 Ir 2.57
Ir2 0.0000 0.0000 0.5000  6 Ir 2.57
Ir3 0.0000 0.5000 0.0000  6 Ir 2.57
Ir4 0.5000 0.0000 0.0000  6 Ir 2.57
Pt1 0.3750 0.3750 0.3750  12 Ir 3.02, 4 Pt 3.15
Pt2 0.6250 0.6250 0.6250  12 Ir 3.02, 4 Pt 3.15

Density (g/cm3): 20.0
Total DFT energy (no corrections) (eV/atom): -7.290
E above lowest polymorph (eV/atom): 0.000
SG: Fd-3m, No. 227

(8)
Material: Ir2Pt
Method: DFT, PBE-GGA
State: relaxed

Cell lengths 5.9562, 5.9562, 5.9562 Å; angles 90.00, 90.00, 90.00 degrees
With the nearest neighbours (Å) after each atom.
Atoms (fractional coordinates):
Ir1 0.2500 0.2500 0.2500  4 Pt 2.58
Ir2 0.2500 0.2500 0.7500  4 Pt 2.58
Ir3 0.2500 0.7500 0.2500  4 Pt 2.58
Ir4 0.2500 0.7500 0.7500  4 Pt 2.58
Ir5 0.7500 0.2500 0.2500  4 Pt 2.58
Ir6 0.7500 0.2500 0.7500  4 Pt 2.58
Ir7 0.7500 0.7500 0.2500  4 Pt 2.58
Ir8 0.7500 0.7500 0.7500  4 Pt 2.58
Pt1 0.0000 0.0000 0.0000  8 Ir 2.58
Pt2 0.0000 0.5000 0.5000  8 Ir 2.58
Pt3 0.5000 0.0000 0.5000  8 Ir 2.58
Pt4 0.5000 0.5000 0.0000  8 Ir 2.58

Density (g/cm3): 18.2
Total DFT energy (no corrections) (eV/atom): -7.188
E above lowest polymorph (eV/atom): 0.103
SG: Fm-3m, No. 225